1.
! PrAg2 | the Alexandria database | GGA-PBEsol | optimized geometry; values from VASP
! Calculated volume ... 22.5 Å³ per atom
! VASP energy ... -0.3093 Ry per atom
! Space-group type ... Imma
! Magnetic moment ... 0.00 μB per cell
&SYSTEM
  ibrav = 0, nat = 12, ntyp = 2
/
ATOMIC_SPECIES
Pr 140.91 Pr.upf
Ag 107.87 Ag.upf
ATOMIC_POSITIONS crystal
Pr 0.000 0.250 0.037
Pr 0.000 0.750 0.963
Pr 0.500 0.250 0.463
Pr 0.500 0.750 0.537
Ag 0.000 0.042 0.665
Ag 0.000 0.458 0.665
Ag 0.000 0.542 0.335
Ag 0.000 0.958 0.335
Ag 0.500 0.042 0.835
Ag 0.500 0.458 0.835
Ag 0.500 0.542 0.165
Ag 0.500 0.958 0.165
CELL_PARAMETERS angstrom
4.751 0.000 0.000
0.000 7.008 0.000
0.000 0.000 8.117

---

2.
! PrAg2 | the Alexandria database | GGA-PBEsol | optimized geometry; values from VASP
! Calculated volume ... 22.5 Å³ per atom
! VASP energy ... -0.3081 Ry per atom
! Space-group type ... P6/mmm
! Magnetic moment ... 0.00 μB per cell
&SYSTEM
  ibrav = 0, nat = 3, ntyp = 2
/
ATOMIC_SPECIES
Pr 140.91 Pr.upf
Ag 107.87 Ag.upf
ATOMIC_POSITIONS crystal
Pr 0.000 0.000 0.000
Ag 0.333 0.667 0.500
Ag 0.667 0.333 0.500
CELL_PARAMETERS angstrom
4.772 0.000 0.000
-2.386 4.133 0.000
0.000 0.000 3.418

---

3.
! Pr5AgS8 | the Alexandria database | GGA-PBEsol | optimized geometry; values from VASP
! Calculated volume ... 21.9 Å³ per atom
! ΔE_f (raw) ... -1878 meV per atom
! VASP energy ... -0.4756 Ry per atom
! Space-group type ... I-4
! Magnetic moment ... 0.00 μB per cell
&SYSTEM
  ibrav = 0, nat = 14, ntyp = 3
/
ATOMIC_SPECIES
Pr 140.91 Pr.upf
Ag 107.87 Ag.upf
S 32.06 S.upf
ATOMIC_POSITIONS crystal
Pr 0.000 0.000 0.000
Pr 0.252 0.132 0.621
Pr 0.369 0.748 0.881
Pr 0.512 0.631 0.379
Pr 0.868 0.488 0.119
Ag 0.750 0.250 0.500
S 0.114 0.364 0.892
S 0.142 0.383 0.400
S 0.258 0.858 0.241
S 0.472 0.222 0.108
S 0.617 0.017 0.759
S 0.636 0.528 0.750
S 0.778 0.886 0.250
S 0.983 0.742 0.600
CELL_PARAMETERS angstrom
-4.227 4.227 4.288
4.227 -4.227 4.288
4.227 4.227 -4.288

---

4.
! Pr3SiAgS7 | the Alexandria database | GGA-PBEsol | optimized geometry; values from VASP
! Calculated volume ... 21.6 Å³ per atom
! ΔE_f (raw) ... -1565 meV per atom
! VASP energy ... -0.4538 Ry per atom
! Space-group type ... P6_3
! Magnetic moment ... 0.00 μB per cell
&SYSTEM
  ibrav = 0, nat = 24, ntyp = 4
/
ATOMIC_SPECIES
Pr 140.91 Pr.upf
Si 28.09 Si.upf
Ag 107.87 Ag.upf
S 32.06 S.upf
ATOMIC_POSITIONS crystal
Pr 0.124 0.764 0.000
Pr 0.236 0.360 0.000
Pr 0.360 0.124 0.500
Pr 0.640 0.876 0.000
Pr 0.764 0.640 0.500
Pr 0.876 0.236 0.500
Si 0.333 0.667 0.585
Si 0.667 0.333 0.085
Ag 0.000 0.000 0.462
Ag 0.000 0.000 0.962
S 0.091 0.823 0.489
S 0.114 0.524 0.731
S 0.177 0.268 0.489
S 0.268 0.091 0.989
S 0.333 0.667 0.217
S 0.410 0.886 0.731
S 0.476 0.590 0.731
S 0.524 0.410 0.231
S 0.590 0.114 0.231
S 0.667 0.333 0.717
S 0.732 0.909 0.489
S 0.823 0.732 0.989
S 0.886 0.476 0.231
S 0.909 0.177 0.989
CELL_PARAMETERS angstrom
10.223 0.000 0.000
-5.112 8.854 0.000
0.000 0.000 5.722

---

5.
! Pr5AgSe8 | the Alexandria database | GGA-PBEsol | optimized geometry; values from VASP
! Calculated volume ... 24.6 Å³ per atom
! ΔE_f (raw) ... -1707 meV per atom
! VASP energy ... -0.4406 Ry per atom
! Space-group type ... I-4
! Magnetic moment ... 0.00 μB per cell
&SYSTEM
  ibrav = 0, nat = 14, ntyp = 3
/
ATOMIC_SPECIES
Pr 140.91 Pr.upf
Ag 107.87 Ag.upf
Se 78.96 Se.upf
ATOMIC_POSITIONS crystal
Pr 0.000 0.000 0.000
Pr 0.132 0.509 0.880
Pr 0.491 0.370 0.623
Pr 0.630 0.253 0.120
Pr 0.747 0.868 0.377
Ag 0.250 0.750 0.500
Se 0.018 0.261 0.401
Se 0.222 0.111 0.748
Se 0.363 0.474 0.252
Se 0.383 0.982 0.243
Se 0.526 0.778 0.889
Se 0.739 0.140 0.757
Se 0.860 0.617 0.599
Se 0.889 0.637 0.111
CELL_PARAMETERS angstrom
-4.391 4.391 4.470
4.391 -4.391 4.470
4.391 4.391 -4.470

---

6.
! Pr3SiAgSe7 | the Alexandria database | GGA-PBEsol | optimized geometry; values from VASP
! Calculated volume ... 24.4 Å³ per atom
! ΔE_f (raw) ... -1366 meV per atom
! VASP energy ... -0.4162 Ry per atom
! Space-group type ... P6_3
! Magnetic moment ... 0.00 μB per cell
&SYSTEM
  ibrav = 0, nat = 24, ntyp = 4
/
ATOMIC_SPECIES
Pr 140.91 Pr.upf
Si 28.09 Si.upf
Ag 107.87 Ag.upf
Se 78.96 Se.upf
ATOMIC_POSITIONS crystal
Pr 0.126 0.769 0.000
Pr 0.231 0.357 0.000
Pr 0.357 0.126 0.500
Pr 0.643 0.874 0.000
Pr 0.769 0.643 0.500
Pr 0.874 0.231 0.500
Si 0.333 0.667 0.413
Si 0.667 0.333 0.913
Ag 0.000 0.000 0.039
Ag 0.000 0.000 0.539
Se 0.095 0.825 0.513
Se 0.107 0.521 0.263
Se 0.175 0.270 0.513
Se 0.270 0.095 0.013
Se 0.333 0.667 0.790
Se 0.415 0.893 0.263
Se 0.479 0.585 0.263
Se 0.521 0.415 0.763
Se 0.585 0.107 0.763
Se 0.667 0.333 0.290
Se 0.730 0.905 0.513
Se 0.825 0.730 0.013
Se 0.893 0.479 0.763
Se 0.905 0.175 0.013
CELL_PARAMETERS angstrom
10.630 0.000 0.000
-5.315 9.206 0.000
0.000 0.000 5.996

---

7.
! PrSi2Ag2 | the Alexandria database | GGA-PBEsol | optimized geometry; values from VASP
! Calculated volume ... 18.6 Å³ per atom
! ΔE_f (raw) ... -517 meV per atom
! VASP energy ... -0.3805 Ry per atom
! Space-group type ... I4/mmm
! Magnetic moment ... 0.00 μB per cell
&SYSTEM
  ibrav = 0, nat = 10, ntyp = 3
/
ATOMIC_SPECIES
Pr 140.91 Pr.upf
Si 28.09 Si.upf
Ag 107.87 Ag.upf
ATOMIC_POSITIONS crystal
Pr 0.000 0.000 0.000
Pr 0.500 0.500 0.500
Si 0.000 0.000 0.390
Si 0.000 0.000 0.610
Si 0.500 0.500 0.110
Si 0.500 0.500 0.890
Ag 0.000 0.500 0.250
Ag 0.000 0.500 0.750
Ag 0.500 0.000 0.250
Ag 0.500 0.000 0.750
CELL_PARAMETERS angstrom
4.202 0.000 0.000
0.000 4.202 0.000
0.000 0.000 10.559

---

8.
! PrAgSn | the Alexandria database | GGA-PBEsol | optimized geometry; values from VASP
! Calculated volume ... 24.7 Å³ per atom
! VASP energy ... -0.3609 Ry per atom
! Space-group type ... P6_3mc
! Magnetic moment ... 0.00 μB per cell
&SYSTEM
  ibrav = 0, nat = 6, ntyp = 3
/
ATOMIC_SPECIES
Pr 140.91 Pr.upf
Ag 107.87 Ag.upf
Sn 118.71 Sn.upf
ATOMIC_POSITIONS crystal
Pr 0.000 0.000 0.000
Pr 0.000 0.000 0.500
Ag 0.333 0.667 0.199
Ag 0.667 0.333 0.699
Sn 0.333 0.667 0.779
Sn 0.667 0.333 0.279
CELL_PARAMETERS angstrom
4.751 0.000 0.000
-2.375 4.114 0.000
0.000 0.000 7.572

---

9.
! Ag3Pt4 | the Alexandria database | GGA-PBEsol | optimized geometry; values from VASP
! Calculated volume ... 15.5 Å³ per atom
! VASP energy ... -0.3937 Ry per atom
! Space-group type ... Cm
! Magnetic moment ... 0.00 μB per cell
&SYSTEM
  ibrav = 0, nat = 14, ntyp = 2
/
ATOMIC_SPECIES
Ag 107.87 Ag.upf
Pt 195.08 Pt.upf
ATOMIC_POSITIONS crystal
Ag 0.000 0.000 0.000
Ag 0.074 0.500 0.715
Ag 0.361 0.500 0.576
Ag 0.500 0.500 0.000
Ag 0.574 0.000 0.715
Ag 0.861 0.000 0.576
Pt 0.149 0.000 0.424
Pt 0.219 0.500 0.150
Pt 0.283 0.000 0.863
Pt 0.434 0.000 0.285
Pt 0.649 0.500 0.424
Pt 0.719 0.000 0.150
Pt 0.783 0.500 0.863
Pt 0.934 0.500 0.285
CELL_PARAMETERS angstrom
8.834 0.000 0.000
0.000 3.960 0.000
-0.906 0.000 6.199

---

10.
! Ag3Pt | the Alexandria database | GGA-PBEsol | optimized geometry; values from VASP
! Calculated volume ... 16.0 Å³ per atom
! VASP energy ... -0.3096 Ry per atom
! Space-group type ... Cmmm
! Magnetic moment ... 0.00 μB per cell
&SYSTEM
  ibrav = 0, nat = 16, ntyp = 2
/
ATOMIC_SPECIES
Ag 107.87 Ag.upf
Pt 195.08 Pt.upf
ATOMIC_POSITIONS crystal
Ag 0.000 0.127 0.000
Ag 0.000 0.873 0.000
Ag 0.248 0.500 0.500
Ag 0.250 0.250 0.500
Ag 0.250 0.750 0.500
Ag 0.252 0.000 0.500
Ag 0.500 0.373 0.000
Ag 0.500 0.627 0.000
Ag 0.748 0.000 0.500
Ag 0.750 0.250 0.500
Ag 0.750 0.750 0.500
Ag 0.752 0.500 0.500
Pt 0.000 0.377 0.000
Pt 0.000 0.623 0.000
Pt 0.500 0.123 0.000
Pt 0.500 0.877 0.000
CELL_PARAMETERS angstrom
5.655 0.000 0.000
0.000 11.375 0.000
0.000 0.000 3.986

---

11.
! AgPt | the Alexandria database | GGA-PBEsol | optimized geometry; values from VASP
! Calculated volume ... 18.0 Å³ per atom
! VASP energy ... -0.3235 Ry per atom
! Space-group type ... Fm-3m
! Magnetic moment ... 0.00 μB per cell
&SYSTEM
  ibrav = 0, nat = 8, ntyp = 2
/
ATOMIC_SPECIES
Ag 107.87 Ag.upf
Pt 195.08 Pt.upf
ATOMIC_POSITIONS crystal
Ag 0.000 0.000 0.000
Ag 0.000 0.500 0.500
Ag 0.500 0.000 0.500
Ag 0.500 0.500 0.000
Pt 0.000 0.000 0.500
Pt 0.000 0.500 0.000
Pt 0.500 0.000 0.000
Pt 0.500 0.500 0.500
CELL_PARAMETERS angstrom
5.242 0.000 0.000
0.000 5.242 0.000
0.000 0.000 5.242

---

12.
! Ag3Pt | the Alexandria database | GGA-PBEsol | optimized geometry; values from VASP
! Calculated volume ... 16.0 Å³ per atom
! VASP energy ... -0.3114 Ry per atom
! Space-group type ... P-6m2
! Magnetic moment ... 0.00 μB per cell
&SYSTEM
  ibrav = 0, nat = 4, ntyp = 2
/
ATOMIC_SPECIES
Ag 107.87 Ag.upf
Pt 195.08 Pt.upf
ATOMIC_POSITIONS crystal
Ag 0.000 0.000 0.000
Ag 0.333 0.667 0.252
Ag 0.333 0.667 0.748
Pt 0.000 0.000 0.500
CELL_PARAMETERS angstrom
2.795 0.000 0.000
-1.397 2.420 0.000
0.000 0.000 9.451

---

13.
! AgPt | the Alexandria database | GGA-PBEsol | optimized geometry; values from VASP
! Calculated volume ... 15.6 Å³ per atom
! VASP energy ... -0.3762 Ry per atom
! Space-group type ... P-1
! Magnetic moment ... 0.00 μB per cell
&SYSTEM
  ibrav = 0, nat = 8, ntyp = 2
/
ATOMIC_SPECIES
Ag 107.87 Ag.upf
Pt 195.08 Pt.upf
ATOMIC_POSITIONS crystal
Ag 0.249 0.373 0.062
Ag 0.249 0.879 0.819
Ag 0.751 0.121 0.181
Ag 0.751 0.627 0.938
Pt 0.247 0.376 0.557
Pt 0.255 0.867 0.329
Pt 0.745 0.133 0.671
Pt 0.753 0.624 0.443
CELL_PARAMETERS angstrom
4.789 0.000 0.000
-0.762 4.780 0.000
-1.554 -0.292 5.463

---

14.
! Ag4Pt | the Alexandria database | GGA-PBEsol | optimized geometry; values from VASP
! Calculated volume ... 16.1 Å³ per atom
! Polymorph energy (0 for the lowest one) ... 25 meV per atom
! VASP energy ... -0.2963 Ry per atom
! Space-group type ... Immm
! Magnetic moment ... 0.00 μB per cell
&SYSTEM
  ibrav = 0, nat = 10, ntyp = 2
/
ATOMIC_SPECIES
Ag 107.87 Ag.upf
Pt 195.08 Pt.upf
ATOMIC_POSITIONS crystal
Ag 0.000 0.000 0.099
Ag 0.000 0.000 0.301
Ag 0.000 0.000 0.699
Ag 0.000 0.000 0.901
Ag 0.500 0.500 0.199
Ag 0.500 0.500 0.401
Ag 0.500 0.500 0.599
Ag 0.500 0.500 0.801
Pt 0.000 0.000 0.500
Pt 0.500 0.500 0.000
CELL_PARAMETERS angstrom
2.821 0.000 0.000
0.000 4.032 0.000
0.000 0.000 14.174

---

15.
! AgPt | the Alexandria database | GGA-PBEsol | optimized geometry; values from VASP
! Calculated volume ... 25.0 Å³ per atom
! VASP energy ... -0.2666 Ry per atom
! Space-group type ... F-43m
! Magnetic moment ... 0.00 μB per cell
&SYSTEM
  ibrav = 0, nat = 8, ntyp = 2
/
ATOMIC_SPECIES
Ag 107.87 Ag.upf
Pt 195.08 Pt.upf
ATOMIC_POSITIONS crystal
Ag 0.000 0.000 0.000
Ag 0.000 0.500 0.500
Ag 0.500 0.000 0.500
Ag 0.500 0.500 0.000
Pt 0.250 0.250 0.750
Pt 0.250 0.750 0.250
Pt 0.750 0.250 0.250
Pt 0.750 0.750 0.750
CELL_PARAMETERS angstrom
5.847 0.000 0.000
0.000 5.847 0.000
0.000 0.000 5.847

---

16.
! Ag3Pt | the Alexandria database | GGA-PBEsol | optimized geometry; values from VASP
! Calculated volume ... 16.0 Å³ per atom
! VASP energy ... -0.3094 Ry per atom
! Space-group type ... Cmcm
! Magnetic moment ... 0.00 μB per cell
&SYSTEM
  ibrav = 0, nat = 16, ntyp = 2
/
ATOMIC_SPECIES
Ag 107.87 Ag.upf
Pt 195.08 Pt.upf
ATOMIC_POSITIONS crystal
Ag 0.000 0.082 0.250
Ag 0.000 0.918 0.750
Ag 0.249 0.331 0.250
Ag 0.249 0.669 0.750
Ag 0.251 0.169 0.750
Ag 0.251 0.831 0.250
Ag 0.500 0.418 0.750
Ag 0.500 0.582 0.250
Ag 0.749 0.169 0.750
Ag 0.749 0.831 0.250
Ag 0.751 0.331 0.250
Ag 0.751 0.669 0.750
Pt 0.000 0.423 0.750
Pt 0.000 0.577 0.250
Pt 0.500 0.077 0.250
Pt 0.500 0.923 0.750
CELL_PARAMETERS angstrom
5.636 0.000 0.000
0.000 9.775 0.000
0.000 0.000 4.661

---

17.
! Ag3Pt | the Alexandria database | GGA-PBEsol | optimized geometry; values from VASP
! Calculated volume ... 16.0 Å³ per atom
! VASP energy ... -0.3102 Ry per atom
! Space-group type ... Pnma
! Magnetic moment ... 0.00 μB per cell
&SYSTEM
  ibrav = 0, nat = 16, ntyp = 2
/
ATOMIC_SPECIES
Ag 107.87 Ag.upf
Pt 195.08 Pt.upf
ATOMIC_POSITIONS crystal
Ag 0.083 0.250 0.126
Ag 0.245 0.501 0.376
Ag 0.245 0.999 0.376
Ag 0.255 0.001 0.876
Ag 0.255 0.499 0.876
Ag 0.417 0.750 0.626
Ag 0.583 0.250 0.374
Ag 0.745 0.501 0.124
Ag 0.745 0.999 0.124
Ag 0.755 0.001 0.624
Ag 0.755 0.499 0.624
Ag 0.917 0.750 0.874
Pt 0.087 0.250 0.632
Pt 0.413 0.750 0.132
Pt 0.587 0.250 0.868
Pt 0.913 0.750 0.368
CELL_PARAMETERS angstrom
4.877 0.000 0.000
0.000 9.318 0.000
0.000 0.000 5.646

---

18.
! Ag3Pt | the Alexandria database | GGA-PBEsol | optimized geometry; values from VASP
! Calculated volume ... 16.1 Å³ per atom
! VASP energy ... -0.3072 Ry per atom
! Space-group type ... R-3m
! Magnetic moment ... 0.00 μB per cell
&SYSTEM
  ibrav = 0, nat = 12, ntyp = 2
/
ATOMIC_SPECIES
Ag 107.87 Ag.upf
Pt 195.08 Pt.upf
ATOMIC_POSITIONS crystal
Ag 0.000 0.500 0.000
Ag 0.167 0.333 0.333
Ag 0.167 0.833 0.333
Ag 0.333 0.167 0.667
Ag 0.500 0.000 0.000
Ag 0.500 0.500 0.000
Ag 0.667 0.833 0.333
Ag 0.833 0.167 0.667
Ag 0.833 0.667 0.667
Pt 0.000 0.000 0.000
Pt 0.333 0.667 0.667
Pt 0.667 0.333 0.333
CELL_PARAMETERS angstrom
9.019 0.000 0.000
-4.510 7.811 0.000
0.000 0.000 2.745

---

19.
! Ag2Pt3 | the Alexandria database | GGA-PBEsol | optimized geometry; values from VASP
! Calculated volume ... 15.5 Å³ per atom
! Polymorph energy (0 for the lowest one) ... 46 meV per atom
! VASP energy ... -0.4025 Ry per atom
! Space-group type ... Immm
! Magnetic moment ... 0.00 μB per cell
&SYSTEM
  ibrav = 0, nat = 10, ntyp = 2
/
ATOMIC_SPECIES
Ag 107.87 Ag.upf
Pt 195.08 Pt.upf
ATOMIC_POSITIONS crystal
Ag 0.000 0.000 0.200
Ag 0.000 0.000 0.800
Ag 0.500 0.500 0.300
Ag 0.500 0.500 0.700
Pt 0.000 0.000 0.000
Pt 0.000 0.000 0.404
Pt 0.000 0.000 0.596
Pt 0.500 0.500 0.096
Pt 0.500 0.500 0.500
Pt 0.500 0.500 0.904
CELL_PARAMETERS angstrom
2.769 0.000 0.000
0.000 3.956 0.000
0.000 0.000 14.135

---

20.
! Ag7Pt5 | the Alexandria database | GGA-PBEsol | optimized geometry; values from VASP
! Calculated volume ... 15.7 Å³ per atom
! Polymorph energy (0 for the lowest one) ... 27 meV per atom
! VASP energy ... -0.3539 Ry per atom
! Space-group type ... Amm2
! Magnetic moment ... 0.00 μB per cell
&SYSTEM
  ibrav = 0, nat = 12, ntyp = 2
/
ATOMIC_SPECIES
Ag 107.87 Ag.upf
Pt 195.08 Pt.upf
ATOMIC_POSITIONS crystal
Ag 0.000 0.000 0.000
Ag 0.000 0.162 0.162
Ag 0.000 0.331 0.331
Ag 0.500 0.162 0.667
Ag 0.500 0.498 0.996
Ag 0.500 0.667 0.162
Ag 0.500 0.996 0.498
Pt 0.000 0.498 0.498
Pt 0.000 0.664 0.664
Pt 0.000 0.830 0.830
Pt 0.500 0.340 0.822
Pt 0.500 0.822 0.340
CELL_PARAMETERS angstrom
2.775 0.000 0.000
0.000 4.038 8.432
0.000 -4.038 8.432